# 1
Compound: NpTlFeSe3
Source: Alexandria via LeMat-Bulk
Functional: PBE-GGA
Structure: relaxed

Computed properties:
DOS(E_F)   2.0003 states/eV per atom
Symmetry   No. 11
ΔE_f (raw)   -662 meV per atom
E   -76.4 eV/cell

Unit cell a=3.997 b=9.282 c=9.500 alpha=108.12 beta=90.00 gamma=90.00
Element x y z (fractional)
Np: 0.250 0.673 0.158
Np: 0.750 0.327 0.842
Tl: 0.250 0.197 0.232
Tl: 0.750 0.803 0.768
Fe: 0.250 0.060 0.583
Fe: 0.750 0.940 0.417
Se: 0.750 0.886 0.145
Se: 0.250 0.114 0.855
Se: 0.250 0.791 0.472
Se: 0.750 0.209 0.528
Se: 0.750 0.454 0.157
Se: 0.250 0.546 0.843

---

# 2
Compound: In4Ag2Pb
Source: Alexandria via LeMat-Bulk
Functional: PBE-GGA
Structure: relaxed

Computed properties:
DOS(E_F)   0.2561 states/eV per atom
Symmetry   No. 2
Energy relative to the elements   0.058 eV per atom
E   -20.0 eV/cell

Unit cell a=5.736 b=6.384 c=6.408 alpha=71.30 beta=59.30 gamma=59.37
Element x y z (fractional)
Pb: 0.000 0.000 0.000
Ag: 0.777 0.478 0.475
Ag: 0.223 0.522 0.525
In: 0.683 0.602 0.011
In: 0.317 0.398 0.989
In: 0.685 0.009 0.601
In: 0.315 0.991 0.399

---

# 3
Compound: CaIr
Source: Alexandria via LeMat-Bulk
Functional: PBE-GGA
Structure: relaxed

Computed properties:
DOS(E_F)   0.8403 states/eV per atom
Symmetry   No. 164
Energy relative to the elements   0.441 eV per atom
E   -20.0 eV/cell

Unit cell a=3.173 b=3.173 c=10.006 alpha=90.00 beta=90.00 gamma=120.00
Element x y z (fractional)
Ca: 0.000 0.000 0.949
Ca: 0.667 0.333 0.301
Ir: 0.000 0.000 0.528
Ir: 0.667 0.333 0.722